1.
Compound: MgAl2CuAu4
Source: Alexandria
Functional: PBE
Structure: relaxed

```
8
Lattice="-2.4190 -0.8517 3.7119 -0.1678 -4.1871 1.6718 5.1119 -0.2318 6.0201" Properties=species:S:1:pos:R:3 pbc="T T T"
Mg 0.0000 0.0000 0.0000
Al 1.8530 -3.9628 8.5240
Al 0.6721 -1.3078 2.8798
Cu 1.2625 -2.6353 5.7019
Au 3.4517 -2.1048 7.2503
Au -0.3345 -4.4929 6.9768
Au 2.8596 -0.7776 4.4271
Au -0.9266 -3.1658 4.1535
```

The calculation puts the total energy at -29.2 eV/cell. Its space group is No. 166. The energy relative to the elements comes out at -2.876 eV/f.u. As for the density: 11.740 g/cm³.



2.
Compound: TaV8W3
Source: Alexandria
Functional: PBE
Structure: relaxed

```
12
Lattice="-0.3175 -4.7576 1.4368 1.4064 3.4958 3.2560 -7.7554 1.1548 2.1100" Properties=species:S:1:pos:R:3 pbc="T T T"
Ta -4.3566 0.6487 1.1853
V -3.0421 1.3215 3.7035
V 0.8277 0.7452 2.6507
V -5.9862 -1.5037 2.3283
V -5.2949 0.2144 3.9286
V -5.4510 -2.1239 4.6348
V -1.5116 0.6515 1.8234
V -0.7958 2.4308 3.4806
V -0.9574 0.0093 4.2119
W -3.1401 -1.5006 2.9674
W -0.2130 -1.9365 2.1711
W -7.2898 1.0855 1.9833
```

The calculation puts the total energy at -124.4 eV/cell. Its space group is No. 156. The energy relative to the elements comes out at -0.700 eV/f.u. As for the density: 10.855 g/cm³.



3.
Compound: YHfN2
Source: Alexandria
Functional: PBE
Structure: relaxed

```
8
Lattice="5.1357 0.0000 0.0000 0.0000 5.1357 0.0000 2.5678 2.5678 5.0287" Properties=species:S:1:pos:R:3 pbc="T T T"
Y 2.5678 2.5678 0.0000
Y 2.5678 5.1357 2.5144
Hf 0.0000 0.0000 0.0000
Hf 5.1357 2.5678 2.5144
N 4.0316 1.2839 1.2572
N 1.1041 3.8517 1.2572
N 3.8517 3.6719 3.7715
N 6.4196 6.5994 3.7715
```

Its formation energy without anion corrections is -1.48 eV per atom. The calculation puts the total energy at -78.0 eV/cell. Its space group is No. 122. As for the density: 7.397 g/cm³.



4.
Compound: Ac6SiP2Se3
Source: Alexandria
Functional: PBE
Structure: relaxed

```
12
Lattice="4.4854 0.0000 0.0000 0.0000 8.9923 0.2841 -2.2427 -2.6318 9.4560" Properties=species:S:1:pos:R:3 pbc="T T T"
Ac 0.0000 6.3931 6.6243
Ac 2.2427 4.2655 3.3810
Ac 2.2427 -0.0326 3.1157
Ac 0.0000 2.1652 0.1350
Ac 2.2427 4.1954 9.6051
Ac 0.0000 2.0951 6.3591
Si 2.2427 0.0000 0.0000
P 2.2427 4.2260 6.4642
P 0.0000 2.1345 3.2759
Se 2.2427 4.4962 0.1421
Se 2.2427 -0.2388 6.3430
Se 0.0000 6.5993 3.3971
```

Its formation energy without anion corrections is -1.59 eV per atom. The calculation puts the total energy at -70.5 eV/cell. Its space group is No. 12. As for the density: 7.289 g/cm³.



5.
Compound: Sr6Li2Ca
Source: Alexandria
Functional: PBE
Structure: relaxed

```
9
Lattice="-1.6441 5.7131 2.6646 -2.9970 -3.1310 4.8640 8.3842 0.0026 5.1677" Properties=species:S:1:pos:R:3 pbc="T T T"
Sr 0.4060 -1.5649 3.6058
Sr 1.0825 2.8572 2.5061
Sr 4.9812 -1.5635 6.4258
Sr 5.6576 2.8586 5.3261
Sr 1.8716 1.2924 6.3481
Sr 4.1921 0.0013 2.5838
Li -1.2531 1.2914 4.4222
Li 4.9962 1.2933 8.2740
Ca 0.0000 0.0000 0.0000
```

The calculation puts the total energy at -15.2 eV/cell. Its space group is No. 123. The energy relative to the elements comes out at 0.718 eV/f.u. As for the density: 2.303 g/cm³.



6.
Compound: ScTe2S
Source: Alexandria
Functional: PBE
Structure: relaxed

```
4
Lattice="-4.4866 4.4513 6.1686 -1.2973 6.9118 5.3422 -4.6094 6.9504 2.9054" Properties=species:S:1:pos:R:3 pbc="T T T"
Sc -5.1967 9.1568 7.2081
S 0.0000 0.0000 0.0000
Te -9.3520 16.4787 12.9719
Te -1.0413 1.8349 1.4444
```

Its formation energy without anion corrections is -0.42 eV per atom. The calculation puts the total energy at -18.4 eV/cell. Its space group is No. 166. As for the density: 4.429 g/cm³.



7.
Compound: TmThBiTe
Source: Alexandria
Functional: PBE
Structure: relaxed

```
4
Lattice="4.2200 -0.0004 -0.0006 -2.1094 3.6555 0.0010 -2.1061 -1.2181 8.1591" Properties=species:S:1:pos:R:3 pbc="T T T"
Tm 0.4010 -0.2678 5.0989
Th -1.7104 3.3887 0.9145
Bi -1.7074 0.9515 6.9743
Te 2.5095 0.9511 3.0839
```

Its formation energy without anion corrections is -0.83 eV per atom. The calculation puts the total energy at -22.2 eV/cell. Its space group is No. 160. As for the density: 9.731 g/cm³.



8.
Compound: CsHf2Sn
Source: Alexandria
Functional: PBE
Structure: relaxed

```
8
Lattice="5.5485 0.0000 0.0000 0.0000 5.5485 0.0000 2.7743 2.7743 10.4529" Properties=species:S:1:pos:R:3 pbc="T T T"
Cs 0.0000 0.0000 0.0000
Cs 5.5485 2.7743 5.2265
Hf 2.8546 1.3871 2.6132
Hf 2.6939 4.1614 2.6132
Hf 4.1614 5.4682 7.8397
Hf 6.9357 5.6288 7.8397
Sn 2.7743 2.7743 0.0000
Sn 2.7743 5.5485 5.2265
```

The calculation puts the total energy at -41.8 eV/cell. Its space group is No. 122. The energy relative to the elements comes out at 3.887 eV/f.u. As for the density: 6.281 g/cm³.



9.
Compound: Tb3Y6HoTh2
Source: Alexandria
Functional: PBE
Structure: relaxed

```
12
Lattice="-0.2283 -3.2577 -5.2500 5.0999 -0.1266 3.4932 -5.8505 -7.9838 6.4245" Properties=species:S:1:pos:R:3 pbc="T T T"
Tb 1.2883 -4.6393 5.2511
Tb -2.2672 -6.7288 -0.5833
Tb -0.4894 -5.6840 2.3339
Y -1.6523 -9.0713 2.0487
Y 2.1852 -4.5009 0.2802
Y 0.6735 -2.2967 2.6190
Y 0.1413 -8.0173 4.9920
Y -3.1641 -6.8672 4.3875
Y -1.1202 -3.3508 -0.3243
Ho 0.0000 0.0000 0.0000
Th 3.3237 -1.1703 0.5787
Th 1.5479 -2.2140 -2.3354
```

The calculation puts the total energy at -71.8 eV/cell. Its space group is No. 12. The energy relative to the elements comes out at 0.283 eV/f.u. As for the density: 7.074 g/cm³.



10.
Compound: AlInF6
Source: Alexandria
Functional: PBE
Structure: relaxed

```
16
Lattice="5.0448 0.0000 0.0000 -2.5224 4.3689 0.0000 0.0000 0.0000 9.2685" Properties=species:S:1:pos:R:3 pbc="T T T"
Al 0.0000 0.0000 4.6343
Al 0.0000 0.0000 0.0000
In 0.0000 2.9126 2.3171
In 2.5224 1.4563 6.9514
F 0.6488 1.3470 3.5759
F 1.8736 3.0219 5.6926
F -1.6802 3.1336 3.5760
F -1.0315 4.2573 1.0583
F 4.2026 1.2354 5.6926
F 3.5539 0.1116 8.2102
F 1.0315 4.2573 3.5760
F -0.6488 1.3470 1.0583
F 1.4909 0.1116 5.6926
F 3.1712 3.0219 8.2102
F 1.6802 3.1336 1.0583
F 0.8422 1.2354 8.2102
```

Its formation energy without anion corrections is -3.01 eV per atom. The calculation puts the total energy at -83.6 eV/cell. Its space group is No. 163. As for the density: 4.158 g/cm³.



11.
Compound: Na2BiCl4
Source: Alexandria
Functional: PBE
Structure: relaxed

```
7
Lattice="6.6967 0.4668 0.0000 -2.8152 6.0942 0.0000 -1.9408 -3.2805 5.5259" Properties=species:S:1:pos:R:3 pbc="T T T"
Na -1.4076 3.0471 2.7630
Na 3.3484 0.2334 2.7630
Bi 1.9408 3.2805 0.0000
Cl 0.6764 -0.4002 2.8962
Cl 4.2041 1.9415 0.7859
Cl -2.2633 1.3390 4.7400
Cl 1.2644 3.6806 2.6297
```

Its formation energy without anion corrections is -1.27 eV per atom. The calculation puts the total energy at -22.8 eV/cell. Its space group is No. 87. As for the density: 2.830 g/cm³.



12.
Compound: LiZnMo3
Source: Alexandria
Functional: PBE
Structure: relaxed

```
5
Lattice="4.2251 0.0000 0.0000 0.0000 4.2251 0.0000 0.0000 0.0000 4.2251" Properties=species:S:1:pos:R:3 pbc="T T T"
Mo 0.0000 2.1125 0.0000
Mo 0.0000 0.0000 2.1125
Mo 2.1125 0.0000 0.0000
Zn 2.1125 2.1125 2.1125
Li 0.0000 0.0000 0.0000
```

The calculation puts the total energy at -29.4 eV/cell. Its space group is No. 221. The energy relative to the elements comes out at 6.274 eV/f.u. As for the density: 7.930 g/cm³.